A plane-wave DFT calculation with GGA-PBE was carried out for crystalline Ho5NbRu6 at its relaxed geometry.

Calculated values
Its symmetry is Immm. The electronic total energy is -7.76 eV per atom. The total magnetic moment is 0.00 Bohr magnetons per cell. Its density of states at the Fermi level is 0.6792 states/eV/atom.

The structure in extended XYZ format:
```
12
Lattice="-4.0412 -1.5510 -1.9363 3.2852 -5.2263 -2.6700 -1.6975 -7.1844 3.5033" Properties=species:S:1:pos:R:3 pbc="T T T"
Ho -0.8151 -4.6441 -0.3836
Ho -1.6383 -9.3177 -0.7194
Ho -3.2763 -6.6873 0.5875
Ho 1.6426 -2.6131 -1.3350
Ho 0.8228 -7.2744 -1.6905
Ru -3.6742 -3.9977 -0.7392
Ru 1.2207 -9.9640 -0.3637
Ru -1.2639 -1.9792 -1.5830
Ru -1.9573 -6.7290 -2.1348
Ru -0.4961 -7.2327 1.0318
Ru -1.1895 -11.9825 0.4800
Nb 0.0000 0.0000 0.0000
```